1.
# RbSrCdBi (GGA-PBE, optimized geometry)
data_RbSrCdBi
_chemical_formula_sum 'Rb4 Sr4 Cd4 Bi4'
_space_group_name_H-M_alt 'F -4 3 m'
_space_group_IT_number 216
_space_group_name_Hall 'F -4 2 3'
_cell_length_a 8.454
_cell_length_b 8.454
_cell_length_c 8.454
_cell_angle_alpha 90.00
_cell_angle_beta 90.00
_cell_angle_gamma 90.00
loop_
_atom_site_label
_atom_site_type_symbol
_atom_site_fract_x
_atom_site_fract_y
_atom_site_fract_z
Rb1 Rb 0.000 0.000 0.000
Sr1 Sr 0.000 0.000 0.500
Cd1 Cd 0.250 0.250 0.250
Bi1 Bi 0.250 0.250 0.750
# Energy of formation from the pure elements (meV/atom): -408
# DFT total energy (eV per atom): -2.27

***

2.
# Rb2TaCdBi (GGA-PBE, optimized geometry)
data_Rb2TaCdBi
_chemical_formula_sum 'Rb2 Ta1 Cd1 Bi1'
_space_group_name_H-M_alt 'P 4/m m m'
_space_group_IT_number 123
_space_group_name_Hall '-P 4 2'
_cell_length_a 7.182
_cell_length_b 7.182
_cell_length_c 5.661
_cell_angle_alpha 90.00
_cell_angle_beta 90.00
_cell_angle_gamma 90.00
loop_
_atom_site_label
_atom_site_type_symbol
_atom_site_fract_x
_atom_site_fract_y
_atom_site_fract_z
Rb1 Rb 0.000 0.500 0.000
Ta1 Ta 0.000 0.000 0.500
Cd1 Cd 0.500 0.500 0.500
Bi1 Bi 0.500 0.500 0.000
# Energy of formation from the pure elements (meV/atom): 1289
# Fermi-level density of states (states/eV/cell): 6.09
# DFT total energy (eV per atom): -2.43

***

3.
# Rb2Cd2BiTe4 (GGA-PBE, optimized geometry)
data_Rb2Cd2BiTe4
_chemical_formula_sum 'Rb4 Cd4 Bi2 Te8'
_space_group_name_H-M_alt 'C 1 2/m 1'
_space_group_IT_number 12
_cell_length_a 18.880
_cell_length_b 4.597
_cell_length_c 8.528
_cell_angle_alpha 90.00
_cell_angle_beta 109.88
_cell_angle_gamma 90.00
loop_
_space_group_symop_operation_xyz
'x,y,z'
'-x,-y,-z'
'-x,y,-z'
'x,-y,z'
'x+1/2,y+1/2,z'
'-x+1/2,-y+1/2,-z'
'-x+1/2,y+1/2,-z'
'x+1/2,-y+1/2,z'
loop_
_atom_site_label
_atom_site_type_symbol
_atom_site_fract_x
_atom_site_fract_y
_atom_site_fract_z
Rb1 Rb 0.128 0.000 0.043
Cd1 Cd 0.172 0.500 0.472
Bi1 Bi 0.000 0.000 0.500
Te1 Te 0.019 0.500 0.261
Te2 Te 0.212 0.000 0.692
# ΔE_f (raw) (eV/atom): -0.587
# Fermi-level density of states (states/eV/cell): 5.05
# DFT total energy (eV per atom): -2.83

***

- Which of these has the lowest DFT total energy?
  Rb2Cd2BiTe4

***

- Which of these has the lowest DFT total energy?
  Rb2Cd2BiTe4